The following is a PBE calculation of crystalline Ac8Ir4F at its relaxed geometry, from Alexandria.

Values from the calculation:
Density of states at the Fermi level ... 8.72 states/eV per cell
Calculated density ... 9.3 g/cm3
Crystal system ... cubic
Formation energy without anion corrections ... -22.05 kcal/mol of atoms
Volume ... 35.8 Å³ per atom

Structure (CIF):
```
data_Ac8Ir4F
_cell_length_a 8.701
_cell_length_b 8.701
_cell_length_c 8.701
_cell_angle_alpha 60.00
_cell_angle_beta 60.00
_cell_angle_gamma 60.00
_space_group_name_H-M_alt 'P 1'
_space_group_IT_number 1
_space_group_name_Hall 'P 1'
loop_
_atom_site_label
_atom_site_type_symbol
_atom_site_fract_x
_atom_site_fract_y
_atom_site_fract_z
Ac1 Ac 0.134 0.597 0.134
Ac2 Ac 0.597 0.134 0.134
Ac3 Ac 0.619 0.619 0.144
Ac4 Ac 0.134 0.134 0.597
Ac5 Ac 0.144 0.619 0.619
Ac6 Ac 0.619 0.144 0.619
Ac7 Ac 0.134 0.134 0.134
Ac8 Ac 0.619 0.619 0.619
F1 F 0.750 0.750 0.750
Ir1 Ir 0.375 0.375 0.375
Ir2 Ir 0.874 0.375 0.375
Ir3 Ir 0.375 0.375 0.874
Ir4 Ir 0.375 0.874 0.375
```